A plane-wave DFT calculation with PBE-GGA was carried out for a relaxed structure of Dy2ScAl.

Cell lengths 5.1884, 6.6839, 6.6839 Å; angles 59.70, 90.00, 90.00 degrees
Atoms (fractional coordinates):
Dy: 0.0000 0.0000 0.0000
Dy: 0.0000 0.0054 0.4792
Dy: 0.0000 0.4792 0.0054
Dy: 0.5000 0.6506 0.6506
Sc: 0.5000 0.1771 0.6481
Sc: 0.5000 0.6481 0.1771
Al: 0.0000 0.4896 0.4896
Al: 0.5000 0.1607 0.1607

space-group type	Amm2 (38)
ΔH_f (0 K)	-198	meV per atom
ΔE to the lowest computed polymorph	0.0105	eV/atom